Entry 1:
VASP calculation (PBE) on a geometry-optimized TaTc2Ge structure.

```
data_TaTc2Ge
_chemical_formula_sum 'Ta4 Tc8 Ge4'
_space_group_name_H-M_alt 'I -4 2 d'
_space_group_IT_number 122
_space_group_name_Hall 'I -4 2bw'
_cell_length_a 6.826
_cell_length_b 6.826
_cell_length_c 5.801
_cell_angle_alpha 90.00
_cell_angle_beta 90.00
_cell_angle_gamma 90.00
loop_
_atom_site_label
_atom_site_type_symbol
_atom_site_fract_x
_atom_site_fract_y
_atom_site_fract_z
Ta1 Ta 0.000 0.000 0.000
Tc1 Tc 0.224 0.750 0.625
Ge1 Ge 0.000 0.000 0.500
```

Properties
As for the calculated formation energy: 557 meV/atom.

---

Entry 2:
VASP calculation (PBE) on a geometry-optimized Cs2TlBr6N structure.

```
data_Cs2TlBr6N
_chemical_formula_sum 'Cs4 Tl2 Br12 N2'
_space_group_name_H-M_alt 'I 4/m m m'
_space_group_IT_number 139
_space_group_name_Hall '-I 4 2'
_cell_length_a 7.749
_cell_length_b 7.749
_cell_length_c 10.901
_cell_angle_alpha 90.00
_cell_angle_beta 90.00
_cell_angle_gamma 90.00
loop_
_atom_site_label
_atom_site_type_symbol
_atom_site_fract_x
_atom_site_fract_y
_atom_site_fract_z
Cs1 Cs 0.000 0.500 0.250
Tl1 Tl 0.000 0.000 0.000
Br1 Br 0.000 0.000 0.269
Br2 Br 0.222 0.222 0.500
N1 N 0.000 0.000 0.500
```

Properties
As for the raw formation energy: -463 meV/atom.

---

Entry 3:
VASP calculation (PBE) on a geometry-optimized NbTl2S structure.

```
data_NbTl2S
_chemical_formula_sum 'Nb4 Tl8 S4'
_space_group_name_H-M_alt 'I -4 2 d'
_space_group_IT_number 122
_space_group_name_Hall 'I -4 2bw'
_cell_length_a 7.963
_cell_length_b 7.963
_cell_length_c 5.853
_cell_angle_alpha 90.00
_cell_angle_beta 90.00
_cell_angle_gamma 90.00
loop_
_atom_site_label
_atom_site_type_symbol
_atom_site_fract_x
_atom_site_fract_y
_atom_site_fract_z
Nb1 Nb 0.000 0.000 0.000
Tl1 Tl 0.244 0.250 0.625
S1 S 0.000 0.000 0.500
```

Properties
As for the raw formation energy: 597 meV/atom.

---

In the order shown, the computed E values come out to -8.743; -2.707; -4.135 eV/atom.